Ho5Cd6In | Alexandria via LeMat-Bulk | PBE | optimized geometry; D(E_F) = 0.742 states/eV/atom; total magnetization = 0.000 μB per formula unit; density = 8.8 g/cm3; energy of formation = -0.29 eV/atom; space-group type = C2/m
1.0
8.225 -3.773 0.000
8.225 3.773 0.000
-1.585 0.000 4.900
Ho Cd In
5 6 1
Cartesian
0.000 0.000 0.000 Ho
1.737 0.000 3.283 Ho
5.057 0.000 1.666 Ho
9.807 0.000 3.234 Ho
13.126 0.000 1.618 Ho
4.163 1.877 4.083 Cd
7.432 1.920 2.450 Cd
10.700 1.877 0.817 Cd
4.163 -1.877 4.083 Cd
7.432 -1.920 2.450 Cd
10.700 -1.877 0.817 Cd
8.225 0.000 0.000 In